Entry A
Compound: CaNpBi2
Source: Alexandria
Functional: PBE
Structure: relaxed

The calculation puts the volume at 119 Å³/cell.

The structure belongs to space group P4/mmm (No. 123); the cell edges are 3.702, 3.702 and 8.666 Å and the angles 90.00°, 90.00° and 90.00°. Symmetry generates all atoms from Ca at (0.000, 0.000, 0.000), Np at (0.000, 0.000, 0.500) and Bi at (0.500, 0.500, 0.252).

Entry B
Compound: CaNpBi2
Source: Alexandria
Functional: PBE
Structure: relaxed

The calculation puts the volume at 404 Å³/cell.

The structure belongs to space group R-3m (No. 166, hexagonal axes); the cell edges are 4.5708, 4.5708 and 22.3359 Å and the angles 90.00°, 90.00° and 120.00°. Symmetry generates all atoms from Ca at (0.0000, 0.0000, 0.0000), Np at (0.0000, 0.0000, 0.5000) and Bi at (0.0000, 0.0000, 0.2456).

Entry C
Compound: CaNpBi2
Source: Alexandria
Functional: PBE
Structure: relaxed

The calculation puts the volume at 404 Å³/cell.

The structure belongs to space group R3m (No. 160, hexagonal axes); the cell edges are 4.3684, 4.3684 and 24.4377 Å and the angles 90.00°, 90.00° and 120.00°. Symmetry generates all atoms from Ca at (0.0000, 0.0000, 0.0000), Np at (0.0000, 0.0000, 0.1704), Bi at (0.0000, 0.0000, 0.4205) and Bi at (0.0000, 0.0000, 0.5840).

Stability summary - winner: entry B; margin: 0.025 eV/atom.

Entry A
Compound: Ca3BiO
Source: Alexandria
Functional: PBE
Structure: relaxed

The calculation puts the volume at 206 Å³/cell.

The structure belongs to space group Pm-3m (No. 221); the cell edges are 5.906, 5.906 and 5.906 Å and the angles 90.00°, 90.00° and 90.00°. Symmetry generates all atoms from Ca at (0.000, 0.000, 0.500), Bi at (0.000, 0.000, 0.000) and O at (0.500, 0.500, 0.500).

Entry B
Compound: Ca3BiO
Source: Alexandria
Functional: PBE
Structure: relaxed

The calculation puts the volume at 567 Å³/cell.

The structure belongs to space group C2/m (No. 12); the cell edges are 16.125, 4.423 and 8.027 Å and the angles 90.00°, 98.26° and 90.00°. Symmetry generates all atoms from Ca at (0.050, 0.000, 0.343), Ca at (0.137, 0.000, 0.933), Ca at (0.169, 0.500, 0.622), Bi at (0.182, 0.500, 0.223) and O at (0.089, 0.000, 0.640).

Entry C
Compound: Ca3BiO
Source: Alexandria
Functional: PBE
Structure: relaxed

The calculation puts the volume at 118 Å³/cell.

The structure belongs to space group Pm-3m (No. 221); the cell edges are 4.900, 4.900 and 4.900 Å and the angles 90.00°, 90.00° and 90.00°. Symmetry generates all atoms from Ca at (0.000, 0.000, 0.500), Bi at (0.500, 0.500, 0.500) and O at (0.000, 0.000, 0.000).

Stability summary - winner: entry C; margin: 0.124 eV/atom.

Entry A
Compound: CaBi2O5
Source: Alexandria
Functional: PBE
Structure: relaxed

The calculation puts the volume at 567 Å³/cell.

The structure belongs to space group Cmcm (No. 63); the cell edges are 4.333, 11.272 and 11.604 Å and the angles 90.00°, 90.00° and 90.00°. Symmetry generates all atoms from Ca at (0.000, 0.193, 0.250), Bi at (0.000, 0.136, 0.566), O at (0.000, 0.052, 0.107), O at (0.000, 0.211, 0.750) and O at (0.000, 0.309, 0.065).

Entry B
Compound: CaBi2O5
Source: Alexandria
Functional: PBE
Structure: relaxed

The calculation puts the volume at 611 Å³/cell.

The structure belongs to space group P2_1/c (No. 14); the cell edges are 5.945, 11.843 and 9.141 Å and the angles 90.00°, 108.36° and 90.00°. Symmetry generates all atoms from Ca at (0.033, 0.096, 0.162), Bi at (0.385, 0.620, 0.058), Bi at (0.460, 0.098, 0.857), O at (0.208, 0.544, 0.191), O at (0.232, 0.722, 0.492), O at (0.266, 0.029, 0.011), O at (0.311, 0.208, 0.331) and O at (0.355, 0.534, 0.851).

Stability summary - winner: entry A; margin: 0.047 eV/atom.

Entry A
Compound: SrCaSmBiO6
Source: Alexandria
Functional: PBE
Structure: relaxed

The calculation puts the volume at 306 Å³/cell.

The structure belongs to space group P-1 (No. 2); the cell edges are 5.895, 6.102 and 8.493 Å and the angles 90.07°, 90.15° and 90.12°. Symmetry generates all atoms from Sr at (0.012, 0.448, 0.252), Ca at (0.485, 0.952, 0.248), Sm at (0.000, 0.000, 0.500), Sm at (0.500, 0.500, 0.000), Bi at (0.000, 0.000, 0.000), Bi at (0.500, 0.500, 0.500), O at (0.125, 0.961, 0.762), O at (0.186, 0.711, 0.060), O at (0.203, 0.688, 0.453), O at (0.294, 0.189, 0.065), O at (0.319, 0.206, 0.431) and O at (0.398, 0.433, 0.739).

Entry B
Compound: SrCaSmBiO6
Source: Alexandria
Functional: PBE
Structure: relaxed

The calculation puts the volume at 312 Å³/cell.

The structure belongs to space group P42_12 (No. 90); the cell edges are 5.987, 5.987 and 8.702 Å and the angles 90.00°, 90.00° and 90.00°. Symmetry generates all atoms from Sr at (0.000, 0.000, 0.000), Ca at (0.000, 0.000, 0.500), Sm at (0.000, 0.500, 0.252), Bi at (0.000, 0.500, 0.746), O at (0.000, 0.500, 0.506), O at (0.000, 0.500, 0.991) and O at (0.159, 0.819, 0.743).

Entry C
Compound: SrCaSmBiO6
Source: Alexandria
Functional: PBE
Structure: relaxed

The calculation puts the volume at 653 Å³/cell.

The structure belongs to space group F-43m (No. 216); the cell edges are 8.677, 8.677 and 8.677 Å and the angles 90.00°, 90.00° and 90.00°. Symmetry generates all atoms from Sr at (0.000, 0.000, 0.000), Ca at (0.000, 0.000, 0.500), Sm at (0.250, 0.250, 0.250), Bi at (0.250, 0.250, 0.750) and O at (0.008, 0.250, 0.750).

Stability summary - winner: entry A; margin: 0.084 eV/atom.

Entry A
Compound: SrCaYBiO6
Source: Alexandria
Functional: PBE
Structure: relaxed

The calculation puts the volume at 302 Å³/cell.

The structure belongs to space group P-4n2 (No. 118); the cell edges are 5.919, 5.919 and 8.613 Å and the angles 90.00°, 90.00° and 90.00°. Symmetry generates all atoms from Sr at (0.000, 0.500, 0.250), Ca at (0.000, 0.500, 0.750), Y at (0.000, 0.000, 0.000), Bi at (0.000, 0.000, 0.500), O at (0.000, 0.000, 0.255) and O at (0.165, 0.319, 0.512).

Entry B
Compound: SrCaYBiO6
Source: Alexandria
Functional: PBE
Structure: relaxed

The calculation puts the volume at 297 Å³/cell.

The structure belongs to space group P-1 (No. 2); the cell edges are 5.855, 6.037 and 8.413 Å and the angles 90.02°, 90.10° and 90.15°. Symmetry generates all atoms from Sr at (0.011, 0.449, 0.251), Ca at (0.485, 0.952, 0.249), Y at (0.000, 0.000, 0.500), Y at (0.500, 0.500, 0.000), Bi at (0.000, 0.000, 0.000), Bi at (0.500, 0.500, 0.500), O at (0.120, 0.967, 0.758), O at (0.192, 0.709, 0.055), O at (0.204, 0.694, 0.453), O at (0.295, 0.192, 0.063), O at (0.314, 0.204, 0.435) and O at (0.402, 0.439, 0.742).

Entry C
Compound: SrCaYBiO6
Source: Alexandria
Functional: PBE
Structure: relaxed

The calculation puts the volume at 629 Å³/cell.

The structure belongs to space group F-43m (No. 216); the cell edges are 8.568, 8.568 and 8.568 Å and the angles 90.00°, 90.00° and 90.00°. Symmetry generates all atoms from Sr at (0.000, 0.000, 0.000), Ca at (0.000, 0.000, 0.500), Y at (0.250, 0.250, 0.750), Bi at (0.250, 0.250, 0.250) and O at (0.006, 0.250, 0.250).

Stability summary - winner: entry B; margin: 0.069 eV/atom.

Entry A
Compound: CaTa2Bi2O9
Source: Alexandria
Functional: PBE
Structure: relaxed

The calculation puts the volume at 201 Å³/cell.

The structure belongs to space group P-1 (No. 2); the cell edges are 3.921, 3.968 and 13.049 Å and the angles 86.96°, 82.03° and 90.00°. Symmetry generates all atoms from Ca at (0.000, 0.000, 0.000), Ta at (0.423, 0.462, 0.161), Bi at (0.220, 0.271, 0.599), O at (0.067, 0.517, 0.856), O at (0.252, 0.749, 0.505), O at (0.361, 0.459, 0.309), O at (0.434, 0.976, 0.141) and O at (0.500, 0.500, 0.000).

Entry B
Compound: CaTa2Bi2O9
Source: Alexandria
Functional: PBE
Structure: relaxed

The calculation puts the volume at 776 Å³/cell.

The structure belongs to space group Cmc2_1 (No. 36); the cell edges are 25.391, 5.495 and 5.562 Å and the angles 90.00°, 90.00° and 90.00°. Symmetry generates all atoms from Ca at (0.000, 0.244, 0.000), Ta at (0.081, 0.253, 0.534), Bi at (0.199, 0.221, 0.941), O at (0.000, 0.330, 0.573), O at (0.061, 0.036, 0.269), O at (0.086, 0.451, 0.846), O at (0.153, 0.167, 0.549) and O at (0.249, 0.487, 0.718).

Stability summary - winner: entry B; margin: 0.041 eV/atom.